1.
# SrCoSi2Os, optimized geometry, DFT PBE
# ΔE_f (raw)	-49	kJ/mol of atoms
# mass density	7.421	g cm⁻³
# symmetry	I-4m2, No. 119
data_SrCoSi2Os
_chemical_formula_sum 'Sr1 Co1 Si2 Os1'
_cell_length_a 4.101
_cell_length_b 4.101
_cell_length_c 5.980
_cell_angle_alpha 110.05
_cell_angle_beta 110.05
_cell_angle_gamma 90.00
_space_group_name_H-M_alt 'P 1'
_space_group_IT_number 1
_space_group_name_Hall 'P 1'
loop_
_atom_site_label
_atom_site_type_symbol
_atom_site_fract_x
_atom_site_fract_y
_atom_site_fract_z
Sr1 Sr 0.000 0.000 0.000
Co1 Co 0.250 0.750 0.500
Si1 Si 0.640 0.640 0.280
Si2 Si 0.360 0.360 0.720
Os1 Os 0.750 0.250 0.500



2.
# LiHfPd2, optimized geometry, DFT PBE
# E_tot	-6.19	eV per atom
# mass density	10.165	g cm⁻³
# symmetry	Fm-3m, No. 225
data_LiHfPd2
_chemical_formula_sum 'Li1 Hf1 Pd2'
_cell_length_a 4.515
_cell_length_b 4.515
_cell_length_c 4.515
_cell_angle_alpha 60.00
_cell_angle_beta 60.00
_cell_angle_gamma 60.00
_space_group_name_H-M_alt 'P 1'
_space_group_IT_number 1
_space_group_name_Hall 'P 1'
loop_
_atom_site_label
_atom_site_type_symbol
_atom_site_fract_x
_atom_site_fract_y
_atom_site_fract_z
Hf1 Hf 0.500 0.500 0.500
Pd1 Pd 0.250 0.250 0.250
Pd2 Pd 0.750 0.750 0.750
Li1 Li 0.000 0.000 0.000



3.
# Ho5CdAg, optimized geometry, DFT PBE
# E_tot	-3.80	eV per atom
# mass density	8.478	g cm⁻³
# symmetry	C2/c, No. 15
data_Ho5CdAg
_chemical_formula_sum 'Ho10 Cd2 Ag2'
_cell_length_a 6.432
_cell_length_b 6.432
_cell_length_c 9.909
_cell_angle_alpha 87.86
_cell_angle_beta 87.86
_cell_angle_gamma 91.07
_space_group_name_H-M_alt 'P 1'
_space_group_IT_number 1
_space_group_name_Hall 'P 1'
loop_
_atom_site_label
_atom_site_type_symbol
_atom_site_fract_x
_atom_site_fract_y
_atom_site_fract_z
Ho1 Ho 0.062 0.611 0.162
Ho2 Ho 0.234 0.412 0.497
Ho3 Ho 0.611 0.062 0.662
Ho4 Ho 0.860 0.140 0.250
Ho5 Ho 0.588 0.766 0.003
Ho6 Ho 0.412 0.234 0.997
Ho7 Ho 0.140 0.860 0.750
Ho8 Ho 0.389 0.938 0.338
Ho9 Ho 0.766 0.588 0.503
Ho10 Ho 0.938 0.389 0.838
Cd1 Cd 0.528 0.472 0.250
Cd2 Cd 0.472 0.528 0.750
Ag1 Ag 0.000 0.000 0.000
Ag2 Ag 0.000 0.000 0.500



Which value of mass density does entry 2 give? 10.165 g cm⁻³